(1)
Here is a relaxed structure of BeMoPt from Alexandria. Energies are from PBE.

Computed properties:
Energy relative to the lowest polymorph listed for this composition in meV per atom: 125
SG: Amm2, No. 38
DFT total energy in eV per atom: -7.15
V in Å³ per cell: 79.5
DOS at the Fermi energy in states/eV/cell: 3.602
ΔE_f in eV/f.u.: -0.84

Cell lengths 2.733, 6.558, 4.759 Å; angles 111.29, 90.00, 90.00 degrees
Fractional coordinates of all 6 atoms:
Be 0.322 0.130 0.634
Be 0.822 0.130 0.008
Mo 0.822 0.769 0.568
Mo 0.822 0.490 0.929
Pt 0.322 0.376 0.379
Pt 0.322 0.883 0.132

(2)
Here is a relaxed structure of Pm5Nd3Ho4 from Alexandria. Energies are from PBE.

Computed properties:
Energy relative to the lowest polymorph listed for this composition in meV per atom: 0
SG: P-1, No. 2
DFT total energy in eV per atom: -4.68
V in Å³ per cell: 400.8
DOS at the Fermi energy in states/eV/cell: 15.739
ΔE_f in eV/f.u.: 0.18

Cell lengths 7.226, 11.436, 13.039 Å; angles 151.28, 56.30, 129.28 degrees
Fractional coordinates of all 12 atoms:
Pm 0.335 0.668 0.833
Pm 0.500 0.000 0.500
Pm 0.748 0.502 0.001
Pm 0.252 0.498 0.999
Pm 0.665 0.332 0.167
Nd 0.587 0.169 0.334
Nd 0.000 0.000 0.500
Nd 0.413 0.831 0.666
Ho 0.917 0.833 0.668
Ho 0.836 0.669 0.834
Ho 0.164 0.331 0.166
Ho 0.083 0.167 0.332

(3)
Here is a relaxed structure of K2YRu from Alexandria. Energies are from PBE.

Computed properties:
Energy relative to the lowest polymorph listed for this composition in meV per atom: 1036
SG: Fm-3m, No. 225
DFT total energy in eV per atom: -3.13
V in Å³ per cell: 121.7
DOS at the Fermi energy in states/eV/cell: 6.709
ΔE_f in eV/f.u.: 5.41

Cell lengths 5.563, 5.563, 5.563 Å; angles 60.00, 60.00, 60.00 degrees
Last column: magnetic moment on the atom in μB.
Fractional coordinates of all 4 atoms:
Y 0.000 0.000 0.000  0.22
Ru 0.500 0.500 0.500  -1.04
K 0.250 0.250 0.250  0.01
K 0.750 0.750 0.750  0.01

(4)
Here is a relaxed structure of K3Tm2SnTe6 from Alexandria. Energies are from PBE.

Computed properties:
SG: C2/m, No. 12
DFT total energy in eV per atom: -4.01
V in Å³ per cell: 429.7
DOS at the Fermi energy in states/eV/cell: 3.906

Cell lengths 7.762, 7.762, 8.633 Å; angles 98.62, 98.62, 120.00 degrees
Fractional coordinates of all 12 atoms:
K 0.165 0.835 0.500
K 0.835 0.165 0.500
K 0.500 0.500 0.500
Tm 0.333 0.667 0.000
Tm 0.667 0.333 0.000
Sn 0.000 0.000 0.000
Te 0.932 0.595 0.795
Te 0.731 0.731 0.204
Te 0.068 0.405 0.205
Te 0.595 0.932 0.795
Te 0.269 0.269 0.796
Te 0.405 0.068 0.205

(5)
Here is a relaxed structure of KAs2Au from Alexandria. Energies are from PBE.

Computed properties:
Energy relative to the lowest polymorph listed for this composition in meV per atom: 145
SG: Pmm2, No. 25
DFT total energy in eV per atom: -3.43
V in Å³ per cell: 89.4
DOS at the Fermi energy in states/eV/cell: 1.018
ΔE_f in eV/f.u.: -0.06

Cell lengths 5.015, 3.007, 5.928 Å; angles 90.00, 90.00, 90.00 degrees
Fractional coordinates of all 4 atoms:
As 0.000 0.250 0.031
As 0.500 0.250 0.240
Au 0.000 0.250 0.482
K 0.500 0.750 0.747

(6)
Here is a relaxed structure of Pa2Ru3Rh from Alexandria. Energies are from PBE.

Computed properties:
SG: Ibam, No. 72
DFT total energy in eV per atom: -9.58
V in Å³ per cell: 219.4
DOS at the Fermi energy in states/eV/cell: 7.391
ΔE_f in eV/f.u.: -3.32

Cell lengths 5.983, 5.977, 7.452 Å; angles 113.64, 113.67, 90.00 degrees
Fractional coordinates of all 12 atoms:
Pa 0.337 0.578 0.673
Pa 0.663 0.422 0.327
Pa 0.163 0.905 0.327
Pa 0.837 0.095 0.673
Ru 0.750 0.500 0.000
Ru 0.250 0.500 0.000
Ru 0.645 0.897 0.291
Ru 0.145 0.394 0.291
Ru 0.855 0.606 0.709
Ru 0.355 0.103 0.709
Rh 0.250 0.000 0.000
Rh 0.750 0.000 0.000

(7)
Here is a relaxed structure of Ga3SiW from Alexandria. Energies are from PBE.

Computed properties:
Energy relative to the lowest polymorph listed for this composition in meV per atom: 0
SG: Pm-3m, No. 221
DFT total energy in eV per atom: -4.59
V in Å³ per cell: 118.2
DOS at the Fermi energy in states/eV/cell: 4.311

Cell lengths 4.908, 4.908, 4.908 Å; angles 90.00, 90.00, 90.00 degrees
Fractional coordinates of all 5 atoms:
Si 0.500 0.500 0.500
Ga 0.000 0.500 0.000
Ga 0.000 0.000 0.500
Ga 0.500 0.000 0.000
W 0.000 0.000 0.000

(8)
Here is a relaxed structure of ScHg2 from Alexandria. Energies are from PBE.

Computed properties:
SG: Pa-3, No. 205
DFT total energy in eV per atom: -2.21
V in Å³ per cell: 330.8
DOS at the Fermi energy in states/eV/cell: 11.944
ΔE_f in eV/f.u.: 0.31

Cell lengths 6.916, 6.916, 6.916 Å; angles 90.00, 90.00, 90.00 degrees
Fractional coordinates of all 12 atoms:
Sc 0.000 0.000 0.000
Sc 0.500 0.500 0.000
Sc 0.500 0.000 0.500
Sc 0.000 0.500 0.500
Hg 0.374 0.374 0.374
Hg 0.626 0.626 0.626
Hg 0.874 0.126 0.626
Hg 0.126 0.874 0.374
Hg 0.626 0.874 0.126
Hg 0.374 0.126 0.874
Hg 0.126 0.626 0.874
Hg 0.874 0.374 0.126